1.
# TmTaOs2 | the Alexandria database | GGA-PBE | optimized geometry
data_TmTaOs2
_cell_length_a 3.218
_cell_length_b 3.218
_cell_length_c 6.795
_cell_angle_alpha 90.00
_cell_angle_beta 90.00
_cell_angle_gamma 90.00
_space_group_name_H-M_alt 'P 4/m m m'
_space_group_IT_number 123
_space_group_name_Hall '-P 4 2'
loop_
_atom_site_label
_atom_site_type_symbol
_atom_site_fract_x
_atom_site_fract_y
_atom_site_fract_z
Tm1 Tm 0.000 0.000 0.000
Ta1 Ta 0.000 0.000 0.500
Os1 Os 0.500 0.500 0.275
# Relative energy among the computed polymorphs   0.00 eV/f.u.
# Total magnetic moment   0.000 μB/atom
# Fermi-level density of states   0.334 states/eV per atom
# Volume   17.59 Å³ per atom
# Energy of formation   -35.45 kJ per mole of atoms

---

2.
# MgMn4Cu2 | the Alexandria database | GGA-PBE | optimized geometry
data_MgMn4Cu2
_cell_length_a 4.588
_cell_length_b 4.588
_cell_length_c 12.429
_cell_angle_alpha 90.00
_cell_angle_beta 90.00
_cell_angle_gamma 90.00
_space_group_name_H-M_alt 'I 4/m m m'
_space_group_IT_number 139
_space_group_name_Hall '-I 4 2'
loop_
_atom_site_label
_atom_site_type_symbol
_atom_site_fract_x
_atom_site_fract_y
_atom_site_fract_z
Mg1 Mg 0.000 0.000 0.000
Mn1 Mn 0.000 0.000 0.205
Mn2 Mn 0.000 0.500 0.000
Cu1 Cu 0.000 0.000 0.401
# Total magnetic moment   2.195 μB/atom
# Fermi-level density of states   0.996 states/eV per atom
# Volume   18.69 Å³ per atom
# Energy of formation   112.20 kJ per mole of atoms

---

3.
# ZrAgSn | the Alexandria database | GGA-PBE | optimized geometry
data_ZrAgSn
_cell_length_a 3.098
_cell_length_b 3.098
_cell_length_c 27.782
_cell_angle_alpha 90.00
_cell_angle_beta 90.00
_cell_angle_gamma 90.00
_space_group_name_H-M_alt 'I 4/m m m'
_space_group_IT_number 139
_space_group_name_Hall '-I 4 2'
loop_
_atom_site_label
_atom_site_type_symbol
_atom_site_fract_x
_atom_site_fract_y
_atom_site_fract_z
Zr1 Zr 0.000 0.000 0.055
Ag1 Ag 0.000 0.000 0.214
Sn1 Sn 0.000 0.000 0.366
# Total magnetic moment   0.000 μB/atom
# Fermi-level density of states   0.394 states/eV per atom
# Volume   22.22 Å³ per atom
# Energy of formation   8.22 kJ per mole of atoms

---

What did the second record say?
# MgMn4Cu2 | the Alexandria database | GGA-PBE | optimized geometry
data_MgMn4Cu2
_cell_length_a 4.588
_cell_length_b 4.588
_cell_length_c 12.429
_cell_angle_alpha 90.00
_cell_angle_beta 90.00
_cell_angle_gamma 90.00
_space_group_name_H-M_alt 'I 4/m m m'
_space_group_IT_number 139
_space_group_name_Hall '-I 4 2'
loop_
_atom_site_label
_atom_site_type_symbol
_atom_site_fract_x
_atom_site_fract_y
_atom_site_fract_z
Mg1 Mg 0.000 0.000 0.000
Mn1 Mn 0.000 0.000 0.205
Mn2 Mn 0.000 0.500 0.000
Cu1 Cu 0.000 0.000 0.401
# Total magnetic moment   2.195 μB/atom
# Fermi-level density of states   0.996 states/eV per atom
# Volume   18.69 Å³ per atom
# Energy of formation   112.20 kJ per mole of atoms